# MgMnF6

Crystalline MgMnF6 at its relaxed geometry (GGA+U, Alexandria via LeMat-Bulk).

It has space group P-31c (No. 163), with a = 4.9342 Å, b = 4.9342 Å, c = 9.1276 Å, α = 90.00°, β = 90.00° and γ = 120.00°. The distinct sites, in fractional coordinates, are Mg at (0.3333, 0.6667, 0.2500), Mn at (0.0000, 0.0000, 0.0000) and F at (0.0284, 0.3178, 0.1173).

As for the total moment: 0.371 μB/atom. As for the crystal system: trigonal. The value obtained for the total energy is -5.21 eV per atom.